Record 1
VASP calculation (PBE-GGA) on Pu3Sb4Pd7 after structural relaxation. Values from VASP.

Geometry as Quantum ESPRESSO input:
```
&SYSTEM
  ibrav = 0, nat = 14, ntyp = 3
/
ATOMIC_SPECIES
Pu 244.00 Pu.upf
Sb 121.76 Sb.upf
Pd 106.42 Pd.upf
CELL_PARAMETERS angstrom
8.246 -2.221 0.000
8.246 2.221 0.000
-5.837 0.000 7.927
ATOMIC_POSITIONS angstrom
Pu 0.000 0.000 0.000
Pu 3.379 0.000 2.657
Pu 7.277 0.000 5.270
Sb -3.001 0.000 6.640
Sb 1.323 0.000 5.678
Sb 9.333 0.000 2.249
Sb 13.657 0.000 1.287
Pd -2.918 0.000 3.964
Pd -0.104 0.000 3.248
Pd -0.499 0.000 7.638
Pd 4.092 0.000 5.566
Pd 6.564 0.000 2.361
Pd 11.156 0.000 0.289
Pd 10.760 0.000 4.680
```

* uncorrected energy: -7.46 eV/atom
* formation energy from raw total energies: -618 meV/atom
* SG: C2/m
* size of the total moment: 1.107 μB per atom

Record 2
VASP calculation (PBE-GGA) on Al2Pd2Pt after structural relaxation. Values from VASP.

Geometry as Quantum ESPRESSO input:
```
&SYSTEM
  ibrav = 0, nat = 5, ntyp = 3
/
ATOMIC_SPECIES
Al 26.98 Al.upf
Pd 106.42 Pd.upf
Pt 195.08 Pt.upf
CELL_PARAMETERS angstrom
-1.903 1.903 5.680
1.903 -1.903 5.680
1.903 1.903 -5.680
ATOMIC_POSITIONS angstrom
Al 1.903 0.000 2.840
Al 0.000 1.903 2.840
Pd 0.000 0.000 1.290
Pd 0.000 0.000 10.070
Pt 0.000 0.000 5.680
```

* energy relative to the elements: -0.3436 eV/atom
* uncorrected energy: -5.13 eV/atom
* SG: I4/mmm
* size of the total moment: 0.000 μB per atom